1.
{"formula": "TmVO4", "functional": "GGA-PBEsol", "state": "optimized geometry", "volume_a3_per_atom": 12.69, "e_form_raw_ev_per_fu": -18.4, "space_group": "I4_1/amd, No. 141", "m_tot_mub_per_cell": 0.0, "lattice_angstrom": [[-3.593, 4.114, -2.088], [-1.209, -5.507, -1.548], [-0.489, 0.205, 5.823]], "species": ["Tm", "Tm", "V", "V", "O", "O", "O", "O", "O", "O", "O", "O"], "fractional_positions": [[0.250, 0.750, 0.500], [0.000, 0.000, 0.000], [0.500, 0.500, 0.000], [0.750, 0.250, 0.500], [0.927, 0.614, 0.687], [0.864, 0.677, 0.187], [0.490, 0.677, 0.813], [0.927, 0.240, 0.313], [0.386, 0.073, 0.313], [0.323, 0.136, 0.813], [0.323, 0.510, 0.187], [0.760, 0.073, 0.687]]}

---

2.
{"formula": "Tm2WO6", "functional": "GGA-PBEsol", "state": "optimized geometry", "volume_a3_per_atom": 11.84, "polymorph_energy_ev_per_atom": 0.000, "e_form_raw_ev_per_fu": -28.2, "space_group": "P2/c, No. 13", "m_tot_mub_per_cell": 0.0, "lattice_angstrom": [[-1.658, 4.945, -0.606], [-7.068, -2.211, 1.297], [4.100, 2.608, 10.062]], "species": ["Tm", "Tm", "Tm", "Tm", "Tm", "Tm", "Tm", "Tm", "W", "W", "W", "W", "O", "O", "O", "O", "O", "O", "O", "O", "O", "O", "O", "O", "O", "O", "O", "O", "O", "O", "O", "O", "O", "O", "O", "O"], "fractional_positions": [[0.261, 0.000, 0.750], [0.739, 0.000, 0.250], [0.819, 0.796, 0.922], [0.181, 0.796, 0.422], [0.319, 0.500, 0.750], [0.681, 0.500, 0.250], [0.819, 0.204, 0.578], [0.181, 0.204, 0.078], [0.745, 0.722, 0.614], [0.255, 0.722, 0.114], [0.745, 0.278, 0.886], [0.255, 0.278, 0.386], [0.961, 0.939, 0.603], [0.467, 0.851, 0.570], [0.039, 0.939, 0.103], [0.537, 0.789, 0.774], [0.533, 0.851, 0.070], [0.020, 0.713, 0.730], [0.463, 0.789, 0.274], [0.154, 0.631, 0.949], [0.643, 0.486, 0.614], [0.980, 0.713, 0.230], [0.643, 0.514, 0.886], [0.154, 0.369, 0.551], [0.846, 0.631, 0.449], [0.357, 0.486, 0.114], [0.020, 0.287, 0.770], [0.357, 0.514, 0.386], [0.846, 0.369, 0.051], [0.537, 0.211, 0.726], [0.980, 0.287, 0.270], [0.467, 0.149, 0.930], [0.463, 0.211, 0.226], [0.961, 0.061, 0.897], [0.533, 0.149, 0.430], [0.039, 0.061, 0.397]]}

---

3.
{"formula": "Tm2WO6", "functional": "GGA-PBEsol", "state": "optimized geometry", "volume_a3_per_atom": 12.37, "polymorph_energy_ev_per_atom": 0.026, "e_form_raw_ev_per_fu": -28.0, "space_group": "P2_12_12_1, No. 19", "m_tot_mub_per_cell": 0.0, "lattice_angstrom": [[-4.424, 2.198, 1.405], [1.735, -1.961, 8.531], [4.559, 8.519, 1.031]], "species": ["Tm", "Tm", "Tm", "Tm", "Tm", "Tm", "Tm", "Tm", "W", "W", "W", "W", "O", "O", "O", "O", "O", "O", "O", "O", "O", "O", "O", "O", "O", "O", "O", "O", "O", "O", "O", "O", "O", "O", "O", "O"], "fractional_positions": [[0.018, 0.398, 0.033], [0.042, 0.280, 0.626], [0.458, 0.720, 0.126], [0.482, 0.602, 0.533], [0.518, 0.102, 0.967], [0.542, 0.220, 0.374], [0.958, 0.780, 0.874], [0.982, 0.898, 0.467], [0.039, 0.005, 0.154], [0.461, 0.995, 0.654], [0.539, 0.495, 0.846], [0.961, 0.505, 0.346], [0.086, 0.659, 0.470], [0.179, 0.546, 0.199], [0.174, 0.862, 0.682], [0.196, 0.857, 0.267], [0.236, 0.385, 0.433], [0.252, 0.091, 0.504], [0.248, 0.909, 0.004], [0.264, 0.615, 0.933], [0.304, 0.143, 0.767], [0.326, 0.138, 0.182], [0.321, 0.454, 0.699], [0.414, 0.341, 0.970], [0.586, 0.841, 0.530], [0.679, 0.954, 0.801], [0.674, 0.638, 0.318], [0.696, 0.643, 0.733], [0.736, 0.115, 0.567], [0.752, 0.409, 0.496], [0.748, 0.591, 0.996], [0.764, 0.885, 0.067], [0.804, 0.357, 0.233], [0.826, 0.362, 0.818], [0.821, 0.046, 0.301], [0.914, 0.159, 0.030]]}

---

4.
{"formula": "Tm2WO6", "functional": "GGA-PBEsol", "state": "optimized geometry", "volume_a3_per_atom": 12.31, "polymorph_energy_ev_per_atom": 0.007, "e_form_raw_ev_per_fu": -28.1, "space_group": "Pbca, No. 61", "m_tot_mub_per_cell": 0.0, "lattice_angstrom": [[-0.244, 5.209, 1.570], [-9.801, 0.556, -3.369], [-5.110, -4.496, 14.124]], "species": ["Tm", "Tm", "Tm", "Tm", "Tm", "Tm", "Tm", "Tm", "Tm", "Tm", "Tm", "Tm", "Tm", "Tm", "Tm", "Tm", "W", "W", "W", "W", "W", "W", "W", "W", "O", "O", "O", "O", "O", "O", "O", "O", "O", "O", "O", "O", "O", "O", "O", "O", "O", "O", "O", "O", "O", "O", "O", "O", "O", "O", "O", "O", "O", "O", "O", "O", "O", "O", "O", "O", "O", "O", "O", "O", "O", "O", "O", "O", "O", "O", "O", "O"], "fractional_positions": [[0.101, 0.358, 0.061], [0.601, 0.142, 0.061], [0.045, 0.146, 0.229], [0.545, 0.354, 0.229], [0.045, 0.646, 0.271], [0.545, 0.854, 0.271], [0.601, 0.642, 0.439], [0.101, 0.858, 0.439], [0.899, 0.142, 0.561], [0.399, 0.358, 0.561], [0.455, 0.146, 0.729], [0.955, 0.354, 0.729], [0.455, 0.646, 0.771], [0.955, 0.854, 0.771], [0.899, 0.642, 0.939], [0.399, 0.858, 0.939], [0.613, 0.619, 0.121], [0.113, 0.881, 0.121], [0.613, 0.119, 0.379], [0.113, 0.381, 0.379], [0.887, 0.619, 0.621], [0.387, 0.881, 0.621], [0.887, 0.119, 0.879], [0.387, 0.381, 0.879], [0.078, 0.785, 0.022], [0.578, 0.715, 0.022], [0.890, 0.543, 0.074], [0.390, 0.957, 0.074], [0.908, 0.016, 0.107], [0.408, 0.484, 0.107], [0.320, 0.228, 0.144], [0.820, 0.272, 0.144], [0.336, 0.730, 0.174], [0.836, 0.770, 0.174], [0.183, 0.944, 0.235], [0.683, 0.556, 0.235], [0.683, 0.056, 0.265], [0.183, 0.444, 0.265], [0.336, 0.230, 0.326], [0.836, 0.270, 0.326], [0.320, 0.728, 0.356], [0.820, 0.772, 0.356], [0.908, 0.516, 0.393], [0.408, 0.984, 0.393], [0.890, 0.043, 0.426], [0.390, 0.457, 0.426], [0.578, 0.215, 0.478], [0.078, 0.285, 0.478], [0.922, 0.715, 0.522], [0.422, 0.785, 0.522], [0.610, 0.543, 0.574], [0.110, 0.957, 0.574], [0.592, 0.016, 0.607], [0.092, 0.484, 0.607], [0.180, 0.228, 0.644], [0.680, 0.272, 0.644], [0.164, 0.730, 0.674], [0.664, 0.770, 0.674], [0.817, 0.556, 0.735], [0.317, 0.944, 0.735], [0.817, 0.056, 0.765], [0.317, 0.444, 0.765], [0.164, 0.230, 0.826], [0.664, 0.270, 0.826], [0.180, 0.728, 0.856], [0.680, 0.772, 0.856], [0.592, 0.516, 0.893], [0.092, 0.984, 0.893], [0.610, 0.043, 0.926], [0.110, 0.457, 0.926], [0.922, 0.215, 0.978], [0.422, 0.285, 0.978]]}

---

5.
{"formula": "Tm6WO12", "functional": "GGA-PBEsol", "state": "optimized geometry", "volume_a3_per_atom": 12.68, "e_form_raw_ev_per_fu": -65.7, "space_group": "R-3, No. 148", "m_tot_mub_per_cell": 0.0, "lattice_angstrom": [[-2.575, 3.851, 4.277], [-1.962, -5.506, 2.366], [5.907, -0.063, 2.204]], "species": ["Tm", "Tm", "Tm", "Tm", "Tm", "Tm", "W", "O", "O", "O", "O", "O", "O", "O", "O", "O", "O", "O", "O"], "fractional_positions": [[0.387, 0.683, 0.856], [0.317, 0.144, 0.613], [0.144, 0.613, 0.317], [0.856, 0.387, 0.683], [0.683, 0.856, 0.387], [0.613, 0.317, 0.144], [0.000, 0.000, 0.000], [0.035, 0.700, 0.922], [0.300, 0.078, 0.965], [0.177, 0.431, 0.589], [0.569, 0.411, 0.823], [0.078, 0.965, 0.300], [0.411, 0.823, 0.569], [0.589, 0.177, 0.431], [0.922, 0.035, 0.700], [0.431, 0.589, 0.177], [0.823, 0.569, 0.411], [0.700, 0.922, 0.035], [0.965, 0.300, 0.078]]}

---

6.
{"formula": "Tm2WO6", "functional": "GGA-PBEsol", "state": "optimized geometry", "volume_a3_per_atom": 11.84, "polymorph_energy_ev_per_atom": 0.029, "e_form_raw_ev_per_fu": -27.9, "space_group": "C2/c, No. 15", "m_tot_mub_per_cell": 0.0, "lattice_angstrom": [[-0.178, 3.356, 4.052], [-1.927, -5.714, 7.298], [7.911, -2.115, 4.750]], "species": ["Tm", "Tm", "Tm", "Tm", "Tm", "Tm", "Tm", "Tm", "W", "W", "W", "W", "O", "O", "O", "O", "O", "O", "O", "O", "O", "O", "O", "O", "O", "O", "O", "O", "O", "O", "O", "O", "O", "O", "O", "O"], "fractional_positions": [[0.616, 0.285, 0.059], [0.116, 0.059, 0.285], [0.750, 0.375, 0.625], [0.750, 0.892, 0.108], [0.250, 0.108, 0.892], [0.250, 0.625, 0.375], [0.884, 0.941, 0.715], [0.384, 0.715, 0.941], [0.916, 0.501, 0.184], [0.416, 0.184, 0.501], [0.584, 0.816, 0.499], [0.084, 0.499, 0.816], [0.920, 0.077, 0.104], [0.420, 0.104, 0.077], [0.726, 0.036, 0.472], [0.861, 0.305, 0.223], [0.226, 0.472, 0.036], [0.361, 0.223, 0.305], [0.590, 0.623, 0.184], [0.090, 0.184, 0.623], [0.969, 0.462, 0.380], [0.578, 0.150, 0.685], [0.469, 0.380, 0.462], [0.078, 0.685, 0.150], [0.922, 0.315, 0.850], [0.531, 0.620, 0.538], [0.422, 0.850, 0.315], [0.031, 0.538, 0.620], [0.910, 0.816, 0.377], [0.410, 0.377, 0.816], [0.639, 0.777, 0.695], [0.774, 0.528, 0.964], [0.139, 0.695, 0.777], [0.274, 0.964, 0.528], [0.580, 0.896, 0.923], [0.080, 0.923, 0.896]]}

---

7.
{"formula": "YTmO3", "functional": "GGA-PBEsol", "state": "optimized geometry", "volume_a3_per_atom": 14.24, "e_form_raw_ev_per_fu": -18.4, "space_group": "C2, No. 5", "m_tot_mub_per_cell": 0.0, "lattice_angstrom": [[-7.215, 1.883, -5.120], [7.224, -1.233, -5.304], [-1.558, -6.880, -5.663]], "species": ["Y", "Y", "Y", "Y", "Y", "Y", "Y", "Y", "Tm", "Tm", "Tm", "Tm", "Tm", "Tm", "Tm", "Tm", "O", "O", "O", "O", "O", "O", "O", "O", "O", "O", "O", "O", "O", "O", "O", "O", "O", "O", "O", "O", "O", "O", "O", "O"], "fractional_positions": [[0.750, 0.000, 0.749], [0.468, 0.750, 0.282], [0.532, 0.249, 0.718], [0.000, 0.533, 0.467], [0.000, 0.032, 0.968], [0.250, 0.001, 0.252], [0.250, 0.500, 0.751], [0.750, 0.498, 0.249], [0.717, 0.218, 0.001], [0.217, 0.716, 0.999], [0.283, 0.282, 0.499], [0.500, 0.467, 0.033], [0.500, 0.967, 0.533], [0.033, 0.250, 0.218], [0.967, 0.750, 0.783], [0.783, 0.784, 0.501], [0.208, 0.486, 0.521], [0.792, 0.271, 0.722], [0.781, 0.043, 0.477], [0.479, 0.242, 0.981], [0.281, 0.261, 0.760], [0.980, 0.457, 0.260], [0.493, 0.014, 0.281], [0.507, 0.226, 0.479], [0.977, 0.272, 0.993], [0.738, 0.534, 0.488], [0.023, 0.030, 0.705], [0.262, 0.773, 0.204], [0.238, 0.232, 0.292], [0.762, 0.470, 0.007], [0.523, 0.730, 0.512], [0.477, 0.966, 0.792], [0.992, 0.770, 0.020], [0.008, 0.989, 0.222], [0.219, 0.742, 0.738], [0.521, 0.540, 0.238], [0.719, 0.960, 0.020], [0.020, 0.761, 0.523], [0.293, 0.512, 0.980], [0.707, 0.727, 0.781]]}

---

8.
{"formula": "YTmO3", "functional": "GGA-PBEsol", "state": "optimized geometry", "volume_a3_per_atom": 13.36, "e_form_raw_ev_per_fu": -18.0, "space_group": "Pnma, No. 62", "m_tot_mub_per_cell": 0.0, "lattice_angstrom": [[5.564, 0.000, 0.000], [0.000, 5.832, 0.000], [0.000, 0.000, 8.235]], "species": ["Y", "Y", "Y", "Y", "Tm", "Tm", "Tm", "Tm", "O", "O", "O", "O", "O", "O", "O", "O", "O", "O", "O", "O"], "fractional_positions": [[0.021, 0.944, 0.750], [0.479, 0.444, 0.750], [0.521, 0.556, 0.250], [0.979, 0.056, 0.250], [0.000, 0.500, 0.000], [0.000, 0.500, 0.500], [0.500, 0.000, 0.000], [0.500, 0.000, 0.500], [0.148, 0.422, 0.250], [0.187, 0.191, 0.580], [0.187, 0.191, 0.920], [0.313, 0.691, 0.920], [0.313, 0.691, 0.580], [0.352, 0.922, 0.250], [0.648, 0.078, 0.750], [0.687, 0.309, 0.420], [0.687, 0.309, 0.080], [0.813, 0.809, 0.080], [0.813, 0.809, 0.420], [0.852, 0.578, 0.750]]}

---

9.
{"formula": "YTmO3", "functional": "GGA-PBEsol", "state": "optimized geometry", "volume_a3_per_atom": 14.30, "e_form_raw_ev_per_fu": -18.0, "space_group": "P6_3cm, No. 185", "m_tot_mub_per_cell": 0.0, "lattice_angstrom": [[6.297, 0.000, 0.000], [-3.148, 5.453, 0.000], [0.000, 0.000, 12.490]], "species": ["Y", "Y", "Y", "Y", "Y", "Y", "Tm", "Tm", "Tm", "Tm", "Tm", "Tm", "O", "O", "O", "O", "O", "O", "O", "O", "O", "O", "O", "O", "O", "O", "O", "O", "O", "O"], "fractional_positions": [[0.333, 0.667, 0.264], [0.000, 0.000, 0.229], [0.000, 0.000, 0.729], [0.333, 0.667, 0.764], [0.667, 0.333, 0.764], [0.667, 0.333, 0.264], [0.333, 0.000, 0.998], [0.667, 0.000, 0.498], [0.667, 0.667, 0.998], [0.333, 0.333, 0.498], [0.000, 0.667, 0.498], [0.000, 0.333, 0.998], [0.306, 0.000, 0.826], [0.363, 0.000, 0.170], [0.637, 0.000, 0.670], [0.694, 0.000, 0.326], [0.333, 0.667, 0.471], [0.000, 0.000, 0.032], [0.000, 0.000, 0.532], [0.333, 0.667, 0.971], [0.694, 0.694, 0.826], [0.637, 0.637, 0.170], [0.000, 0.694, 0.326], [0.363, 0.363, 0.670], [0.306, 0.306, 0.326], [0.000, 0.637, 0.670], [0.667, 0.333, 0.971], [0.667, 0.333, 0.471], [0.000, 0.363, 0.170], [0.000, 0.306, 0.826]]}

---

10.
{"formula": "Y15TmO24", "functional": "GGA-PBEsol", "state": "optimized geometry", "volume_a3_per_atom": 14.59, "e_form_raw_ev_per_fu": -145.6, "space_group": "C2, No. 5", "m_tot_mub_per_cell": 0.0, "lattice_angstrom": [[9.114, 0.000, -0.001], [-3.038, 8.599, 0.002], [3.041, 4.303, 7.444]], "species": ["Y", "Y", "Y", "Y", "Y", "Y", "Y", "Y", "Y", "Y", "Y", "Y", "Y", "Y", "Y", "Tm", "O", "O", "O", "O", "O", "O", "O", "O", "O", "O", "O", "O", "O", "O", "O", "O", "O", "O", "O", "O", "O", "O", "O", "O"], "fractional_positions": [[0.749, 0.999, 0.251], [0.000, 0.217, 0.783], [0.782, 0.750, 0.967], [0.218, 0.251, 0.032], [0.533, 0.032, 0.000], [0.034, 0.533, 0.999], [0.251, 0.000, 0.750], [0.500, 0.283, 0.217], [0.251, 0.501, 0.249], [0.000, 0.717, 0.283], [0.749, 0.500, 0.750], [0.467, 0.468, 0.500], [0.966, 0.967, 0.500], [0.717, 0.249, 0.533], [0.283, 0.750, 0.468], [0.500, 0.783, 0.717], [0.781, 0.490, 0.988], [0.978, 0.271, 0.011], [0.758, 0.040, 0.480], [0.261, 0.239, 0.781], [0.479, 0.260, 0.978], [0.980, 0.457, 0.281], [0.219, 0.230, 0.292], [0.022, 0.011, 0.708], [0.011, 0.772, 0.020], [0.792, 0.272, 0.739], [0.295, 0.534, 0.976], [0.511, 0.031, 0.261], [0.208, 0.469, 0.520], [0.489, 0.228, 0.480], [0.705, 0.728, 0.761], [0.989, 0.969, 0.239], [0.281, 0.771, 0.208], [0.479, 0.986, 0.792], [0.521, 0.542, 0.219], [0.020, 0.739, 0.523], [0.739, 0.958, 0.022], [0.242, 0.762, 0.718], [0.719, 0.511, 0.510], [0.521, 0.729, 0.493]]}